! Rh2SO (PBE-GGA, relaxed); values from VASP
&SYSTEM
  ibrav = 0, nat = 4, ntyp = 3
/
ATOMIC_SPECIES
Rh 102.91 Rh.upf
S 32.06 S.upf
O 16.00 O.upf
ATOMIC_POSITIONS crystal
Rh 0.2500 0.2500 0.2500
Rh 0.7500 0.7500 0.7500
S 0.0000 0.0000 0.0000
O 0.5000 0.5000 0.5000
CELL_PARAMETERS angstrom
0.0000 2.8836 2.8836
2.8836 0.0000 2.8836
2.8836 2.8836 0.0000
! E_form (uncorrected): 0.076 eV per atom
! Offset from the most stable computed form: 220 meV/atom